Entry 1:
The following is a DFT calculation (PBE-GGA) of a relaxed LiDyTm2Tl4 crystal.

Output
Uncorrected energy: -27.4 eV for the cell shown
Calculated formation energy: -0.305 eV/atom
Volume: 205.6 Å³/f.u.

POSCAR file:
```
LiDyTm2Tl4
1.0
5.2056 0.0000 0.0000
2.6028 4.5082 0.0000
2.6028 1.5027 8.7607
Li Dy Tm Tl
1 1 2 4
Cartesian
5.2056 3.0055 4.3803
0.0000 0.0000 0.0000
7.8084 4.5082 6.4709
2.6028 1.5027 2.2897
5.2056 3.0055 7.5911
7.8084 4.5082 3.3555
2.6028 1.5027 5.4052
5.2056 3.0055 1.1696
```

---

Entry 2:
The following is a DFT calculation (PBE-GGA) of a relaxed Y2IrAu crystal.

Output
Uncorrected energy: -23.5 eV for the cell shown
Calculated formation energy: 0.392 eV/atom
Volume: 92.6 Å³/f.u.

POSCAR file:
```
Y2IrAu
1.0
-4.5356 2.8459 -3.3315
5.0160 -3.8071 0.3410
-0.1464 -5.3245 3.3762
Y Ir Au
2 1 1
Cartesian
1.1599 -2.1751 0.8854
3.7096 -6.9565 2.8318
0.0000 0.0000 0.0000
2.4348 -4.5658 1.8586
```

---

Entry 3:
The following is a DFT calculation (PBE-GGA) of a relaxed RuS2BrCl crystal.

Output
ΔE to the lowest computed polymorph: 0 meV per atom
Uncorrected energy: -19.5 eV for the cell shown
Volume: 103.5 Å³/f.u.

POSCAR file:
```
RuS2BrCl
1.0
-3.0232 2.0720 -2.7705
-3.0755 0.0753 3.4124
1.6912 4.3766 1.4277
Ru S Br Cl
1 2 1 1
Cartesian
0.0000 0.0000 0.0000
-1.5378 0.0376 1.7062
-1.5116 1.0360 -1.3853
-2.2038 3.2619 1.0348
0.8456 2.1883 0.7138
```

---

Entry 4:
The following is a DFT calculation (PBE-GGA) of a relaxed Hf3NiAg crystal.

Output
ΔE to the lowest computed polymorph: 1050 meV per atom
Uncorrected energy: -31.6 eV for the cell shown
Calculated formation energy: 1.376 eV/atom
Volume: 127.2 Å³/f.u.

POSCAR file:
```
Hf3NiAg
1.0
5.0297 0.0000 0.0000
0.0000 5.0297 0.0000
0.0000 0.0000 5.0297
Ni Hf Ag
1 3 1
Cartesian
2.5148 2.5148 2.5148
0.0000 2.5148 0.0000
0.0000 0.0000 2.5148
2.5148 0.0000 0.0000
0.0000 0.0000 0.0000
```

---

Entry 5:
The following is a DFT calculation (PBE-GGA) of a relaxed CsLiTbI5 crystal.

Output
Uncorrected energy: -52.4 eV for the cell shown
Volume: 387.1 Å³/f.u.

POSCAR file:
```
CsLiTbI5
1.0
-0.1078 -8.6764 -0.6517
6.2897 2.0121 5.6664
-9.7511 2.4009 5.8121
Cs Li Tb I
2 2 2 10
Cartesian
1.6407 -1.0820 4.9357
-5.2100 -3.1815 5.8911
-0.5796 -4.7916 2.7429
-2.9896 0.5281 8.0839
-4.8756 1.2004 2.9061
0.0000 0.0000 0.0000
3.4059 1.8671 6.6789
-6.9751 -6.1305 4.1479
0.8234 -6.9690 1.7013
-4.3926 2.7055 9.1256
-3.3519 -4.9020 2.4323
-0.2173 0.6385 8.3946
-0.2771 -4.3761 5.5499
-3.2922 0.1127 5.2770
0.6991 -2.5651 1.4976
-4.2684 -1.6983 9.3292
```

---

Entry 6:
The following is a DFT calculation (PBE-GGA) of a relaxed Pr2Nd6Hg crystal.

Output
ΔE to the lowest computed polymorph: 0 meV per atom
Uncorrected energy: -39.3 eV for the cell shown
Calculated formation energy: -0.093 eV/atom
Volume: 309.3 Å³/f.u.

POSCAR file:
```
Pr2Nd6Hg
1.0
-2.2084 -2.0607 -2.2967
2.8390 -8.0926 4.5314
-7.7960 4.8425 3.1512
Pr Nd Hg
2 6 1
Cartesian
-4.2506 0.5303 3.6114
-0.7061 -3.7814 4.0719
0.6556 -6.0467 1.6605
-2.9878 -2.2665 1.7720
-5.9369 1.9708 0.8058
0.7581 -2.1609 1.2100
-3.6323 -2.3824 5.6303
-2.0828 1.2932 0.8423
1.7341 -9.1210 3.3819
```

---

Entry 7:
The following is a DFT calculation (PBE-GGA) of a relaxed Y5NpAs6 crystal.

Output
Uncorrected energy: -90.0 eV for the cell shown
Calculated formation energy: -1.406 eV/atom
Volume: 296.9 Å³/f.u.

POSCAR file:
```
Y5NpAs6
1.0
0.2070 1.8528 -6.8896
-5.7520 -3.3019 2.6369
-0.8786 6.4457 2.9381
Y Np As
5 1 6
Cartesian
-1.2308 4.2119 -3.8243
-1.7808 0.1333 -3.7118
-3.2118 2.4983 -0.6573
-3.7643 -1.5825 -0.5408
-5.1929 0.7846 2.5098
0.0000 0.0000 0.0000
-0.6100 2.0957 -1.8976
-3.8451 4.6037 -2.5641
-2.0337 4.4891 1.1569
-4.3900 0.5075 -2.4714
-2.5786 0.3928 1.2496
-5.8137 2.9008 0.5831
```

---

Entry 8:
The following is a DFT calculation (PBE-GGA) of a relaxed PmTi2MnN4 crystal.

Output
Uncorrected energy: -145.6 eV for the cell shown
Volume: 89.0 Å³/f.u.

POSCAR file:
```
PmTi2MnN4
1.0
-2.8003 -0.2378 1.4394
3.8136 -1.8751 3.6461
1.1334 9.7134 3.8098
Pm Ti Mn N
2 4 2 8
Cartesian
1.3419 6.8787 3.7471
0.8048 0.7218 5.1483
2.3983 3.7989 5.2936
-0.7214 -0.2241 2.0228
-0.2517 3.8015 3.6018
2.8681 7.8246 6.8725
1.0863 5.8142 6.5372
1.0604 1.7863 2.3581
1.4139 0.0288 2.7555
0.4208 4.8984 5.0914
0.7328 7.5717 6.1399
1.7258 2.7021 3.8040
0.5667 4.8567 1.9049
0.0000 0.0000 0.0000
2.9102 5.5829 6.5842
-0.7636 2.0176 2.3112
```

---

Entry 9:
The following is a DFT calculation (PBE-GGA) of a relaxed TcAg2Cl crystal.

Output
ΔE to the lowest computed polymorph: 224 meV per atom
Uncorrected energy: -16.1 eV for the cell shown
Volume: 69.6 Å³/f.u.

POSCAR file:
```
TcAg2Cl
1.0
2.8838 0.0000 0.0000
0.0000 2.8881 0.0000
0.0000 0.0000 8.3578
Ag Cl Tc
2 1 1
Cartesian
0.0000 0.0000 8.3282
0.0000 0.0000 4.2085
1.4419 1.4440 2.0895
1.4419 1.4440 6.2684
```

---

Entry 10:
The following is a DFT calculation (PBE-GGA) of a relaxed TmCdFe crystal.

Output
Uncorrected energy: -27.1 eV for the cell shown
Calculated formation energy: 0.097 eV/atom
Volume: 65.8 Å³/f.u.

POSCAR file:
```
TmCdFe
1.0
-0.7424 -3.4449 0.3962
2.1001 -2.4474 -1.4748
7.1699 -2.2557 9.6901
Fe Cd Tm
2 2 2
Cartesian
0.6153 -1.9712 -0.1161
7.9123 -6.1769 8.7277
3.1849 -2.0827 3.7283
5.3427 -6.0653 4.8833
6.2751 -4.1613 7.3149
2.2525 -3.9867 1.2967
```

---

Entry 11:
The following is a DFT calculation (PBE-GGA) of a relaxed Tb2Ga8Pt crystal.

Output
Uncorrected energy: -45.7 eV for the cell shown
Calculated formation energy: -0.562 eV/atom
Volume: 210.8 Å³/f.u.

POSCAR file:
```
Tb2Ga8Pt
1.0
-0.1517 -4.1388 1.3052
1.9605 -1.2305 -3.6741
9.9686 1.1867 4.9219
Tb Ga Pt
2 8 1
Cartesian
3.0825 0.3670 1.5220
6.8861 0.8197 3.4000
5.9646 -0.0219 0.6239
4.9084 -1.4761 3.1136
3.9648 -2.3203 0.3266
7.8126 -1.8623 2.2264
2.2373 -0.4656 -1.2164
1.1811 -1.9198 1.2732
9.6919 0.4218 2.4643
8.6357 -1.0324 4.9539
0.0000 0.0000 0.0000
```

---

Entry 12:
The following is a DFT calculation (PBE-GGA) of a relaxed SrPuO2 crystal.

Output
ΔE to the lowest computed polymorph: 0 meV per atom
Uncorrected energy: -36.0 eV for the cell shown
Volume: 65.4 Å³/f.u.

POSCAR file:
```
SrPuO2
1.0
-0.1132 -2.7971 2.2119
0.6191 -3.2854 -1.2456
5.9577 -1.3661 1.4547
Sr O Pu
1 2 1
Cartesian
3.2318 -3.7243 1.2105
4.9520 -5.5745 1.8361
1.5117 -1.8741 0.5848
0.0000 0.0000 0.0000
```

---

Entry 13:
The following is a DFT calculation (PBE-GGA) of a relaxed YbLuHg2 crystal.

Output
Uncorrected energy: -8.9 eV for the cell shown
Calculated formation energy: -0.554 eV/atom
Volume: 100.1 Å³/f.u.

POSCAR file:
```
YbLuHg2
1.0
5.2120 0.0000 0.0000
2.6060 4.5137 0.0000
2.6060 1.5046 4.2556
Yb Lu Hg
1 1 2
Cartesian
2.6060 1.5046 1.0639
7.8180 4.5137 3.1917
0.0000 0.0000 0.0000
5.2120 3.0092 2.1278
```

---

Entry 14:
The following is a DFT calculation (PBE-GGA) of a relaxed Tb2Be4Si3Rh crystal.

Output
Uncorrected energy: -53.2 eV for the cell shown
Volume: 144.4 Å³/f.u.

POSCAR file:
```
Tb2Be4Si3Rh
1.0
-1.2493 0.9483 -3.4901
-1.0708 -3.6239 -0.6014
-8.9029 2.0112 3.7332
Tb Be Si Rh
2 4 3 1
Cartesian
-2.8115 0.9682 -0.8281
-7.2515 -0.2948 2.5156
-1.1600 -1.3378 -2.0457
0.0000 0.0000 0.0000
-6.2682 1.7491 0.6214
-3.7948 -1.0756 1.0661
-4.4515 1.0056 1.8666
-8.3458 2.2184 1.4926
-1.7172 -1.5450 0.1949
-5.6115 -0.3322 -0.1791
```

---

Entry 15:
The following is a DFT calculation (PBE-GGA) of a relaxed Mn2GeAsSe crystal.

Output
Uncorrected energy: -26.4 eV for the cell shown
Volume: 141.3 Å³/f.u.

POSCAR file:
```
Mn2GeAsSe
1.0
-3.5425 3.7177 0.2679
-3.2717 -3.3071 2.6297
1.9953 1.5792 4.4684
As Mn Ge Se
1 2 1 1
Cartesian
-2.4094 0.9949 3.6830
0.9976 0.7896 2.2342
-1.7713 1.8588 0.1340
0.0000 0.0000 0.0000
-1.6358 -1.6535 1.3148
```

---

Entry 16:
The following is a DFT calculation (PBE-GGA) of a relaxed HoAl3Au10 crystal.

Output
Uncorrected energy: -105.2 eV for the cell shown
Calculated formation energy: -0.289 eV/atom
Volume: 272.3 Å³/f.u.

POSCAR file:
```
HoAl3Au10
1.0
0.9186 8.5323 3.2230
-2.1388 1.8617 8.7172
6.6258 1.9320 6.0327
Ho Al Au
2 6 20
Cartesian
1.3514 3.0815 4.4932
4.0542 9.2445 13.4796
0.8687 8.1411 10.3674
4.9664 8.1740 9.1123
3.5370 5.0553 11.6810
4.5370 4.1849 7.6055
1.8686 7.2707 6.2918
0.4392 4.1520 8.8605
2.2728 0.6627 2.0694
-0.7337 0.6386 2.9902
0.3151 2.9268 1.1056
-0.1302 6.2441 5.1076
2.0594 4.6960 6.8473
2.9089 3.5680 9.5912
1.0412 5.5823 10.9974
2.8763 6.2682 4.1868
5.2139 5.6158 9.7194
2.4968 8.7580 8.3817
0.1918 6.7102 8.2535
4.3530 1.2693 3.9633
-1.0900 4.1499 6.8325
0.8677 1.8858 7.7963
3.6193 1.9079 6.9536
0.6035 5.6055 2.1174
3.3462 7.6300 11.1255
-1.4051 1.2231 5.7269
4.3644 6.7437 6.9755
4.6681 4.1961 5.0689
```

---

Entry 17:
The following is a DFT calculation (PBE-GGA) of a relaxed BaCl crystal.

Output
Uncorrected energy: -14.4 eV for the cell shown
Volume: 89.5 Å³/f.u.

POSCAR file:
```
BaCl
1.0
-4.6003 6.0140 7.1846
1.2795 -4.6078 -9.2779
-2.2332 -3.2957 1.3288
Ba Cl
2 2
Cartesian
-5.3729 1.9122 5.6550
-0.1811 -3.8018 -6.4195
-3.8908 -0.7652 1.5052
-1.6632 -1.1243 -2.2697
```

---

Entry 18:
The following is a DFT calculation (PBE-GGA) of a relaxed CdBiI2N crystal.

Output
ΔE to the lowest computed polymorph: 0 meV per atom
Uncorrected energy: -13.0 eV for the cell shown
Volume: 174.6 Å³/f.u.

POSCAR file:
```
CdBiI2N
1.0
-3.7015 -4.5141 2.6175
-1.8496 -1.8657 -5.8333
3.2537 -2.7552 -0.1504
I N Bi Cd
2 1 1 1
Cartesian
-0.9248 -0.9329 -2.9166
-1.8508 -2.2570 1.3087
1.6268 -1.3776 -0.0752
0.0000 0.0000 0.0000
-1.1487 -4.5675 -1.6831
```

---

Entry 19:
The following is a DFT calculation (PBE-GGA) of a relaxed LiMgSc3 crystal.

Output
ΔE to the lowest computed polymorph: 0 meV per atom
Uncorrected energy: -19.7 eV for the cell shown
Calculated formation energy: 0.551 eV/atom
Volume: 125.8 Å³/f.u.

POSCAR file:
```
LiMgSc3
1.0
-3.2473 2.4219 -2.9481
-2.0103 -4.3765 -1.3810
-3.2428 0.2878 3.8084
Sc Mg Li
3 1 1
Cartesian
-1.0051 -2.1882 -0.6905
-1.6214 0.1439 1.9042
-1.6237 1.2110 -1.4740
-4.2502 -0.8334 -0.2604
0.0000 0.0000 0.0000
```

---

Entry 20:
The following is a DFT calculation (PBE-GGA) of a relaxed MgBr2Cl crystal.

Output
ΔE to the lowest computed polymorph: 207 meV per atom
Uncorrected energy: -9.9 eV for the cell shown
Volume: 116.8 Å³/f.u.

POSCAR file:
```
MgBr2Cl
1.0
3.2592 0.0000 0.0000
0.0000 3.2598 0.0000
0.0000 0.0000 10.9918
Br Cl Mg
2 1 1
Cartesian
0.0000 0.0000 9.8440
1.6296 1.6299 2.8152
0.0000 0.0000 6.6874
1.6296 1.6299 8.1330
```